Density functional theory data (PBE-GGA) for a geometry-optimized Sr2TaW structure.

Summary:
Energy, eV/atom: -5.762
Total moment, μB per cell: 0.0
Energy relative to the elements, eV/atom: 1.280
ΔE to the lowest computed polymorph, kcal/mol of atoms: 16.74

Lattice parameters (Å, degrees): 6.282 6.282 2.948 90.90 90.90 124.07
Fractional positions:
1 Sr 0.000 0.500 0.000
2 Sr 0.500 0.000 0.000
3 Ta 0.000 0.000 0.500
4 W 0.500 0.500 0.500